CsTe3Au at its PBEsol-relaxed geometry, computed with meta-GGA SCAN.

extended XYZ file:
```
5
Lattice="5.528 0.000 0.000 0.000 5.528 0.000 0.000 0.000 5.528" Properties=species:S:1:pos:R:3 pbc="T T T"
Cs 0.000 0.000 0.000
Te 0.000 2.764 2.764
Te 2.764 0.000 2.764
Te 2.764 2.764 0.000
Au 2.764 2.764 2.764
```

## Properties
Raw total energy ... -43.98 eV/atom
ΔE_f (raw) ... -234 meV/atom
Theoretical density ... 7.00 Mg/m³
Magnetization ... 0.0 μB/cell